{"formula": "Cs2LiNiF6", "functional": "PBE with a Hubbard U", "state": "optimized geometry", "cell": [[6.320, 0.000, 0.000], [0.000, 7.886, 0.000], [0.000, 0.000, 6.804]], "species": ["Cs", "Cs", "Cs", "Cs", "Li", "Li", "Ni", "Ni", "F", "F", "F", "F", "F", "F", "F", "F", "F", "F", "F", "F"], "fractional_positions": [[0.250, 0.011, 0.220], [0.250, 0.489, 0.220], [0.750, 0.511, 0.780], [0.750, 0.989, 0.780], [0.250, 0.750, 0.629], [0.750, 0.250, 0.371], [0.250, 0.250, 0.715], [0.750, 0.750, 0.285], [0.027, 0.250, 0.521], [0.045, 0.250, 0.916], [0.250, 0.507, 0.712], [0.250, 0.993, 0.712], [0.455, 0.250, 0.916], [0.473, 0.250, 0.521], [0.527, 0.750, 0.479], [0.545, 0.750, 0.084], [0.750, 0.007, 0.288], [0.750, 0.493, 0.288], [0.955, 0.750, 0.084], [0.973, 0.750, 0.479]], "n_ef_per_ev_cell": 0.000, "dft_energy_ev_per_cell": -83.3}